A relaxed Mg5HgPt6 crystal. Source: Alexandria, functional PBE.

Lattice parameters (Å, degrees): 4.2397 7.2814 12.6454 90.00 90.00 90.00
With the nearest neighbours (Å) after each atom.
Space group Immm (No. 71)
Inequivalent atoms, fractional coordinates:
Mg 0.0000 0.0000 0.0000 [2 per cell]  8 Pt 2.71-2.77, 4 Mg 3.02
Mg 0.0000 0.0000 0.3386 [4 per cell]  8 Pt 2.76-2.84, 2 Hg 2.94, 2 Mg 3.00
Mg 0.0000 0.5000 0.3296 [4 per cell]  8 Pt 2.74-2.76, 4 Mg 3.00-3.02
Hg 0.0000 0.5000 0.0000 [2 per cell]  8 Pt 2.86-2.88, 4 Mg 2.94
Pt 0.0000 0.2410 0.1698 [8 per cell]  7 Mg 2.75-2.84, 1 Hg 2.86, 4 Pt 2.94-3.02
Pt 0.0000 0.2677 0.5000 [4 per cell]  6 Mg 2.71-2.82, 2 Hg 2.88, 4 Pt 3.02

Computed properties:
- magnetization (μB per formula unit) = 0.00
- DOS at the Fermi energy (states/eV per atom) = 0.289
- energy relative to the elements (eV/atom) = -0.737
- calculated volume (Å³ per atom) = 16.27
- final energy (eV/atom) = -4.447